DFT (PBE-GGA) results for an optimized crystal structure of PmPrYCd.

* crystal system: tetragonal
* ΔE to the lowest computed polymorph: 0.0 meV/atom
* DFT total energy: -17.53 eV/f.u.
* ΔH_f (0 K): -0.16 eV/atom

Structure (CIF):
```
data_PmPrYCd
_chemical_formula_sum 'Pm1 Pr1 Y1 Cd1'
_symmetry_space_group_name_H-M 'P 4 m m'
_symmetry_Int_Tables_number 99
_symmetry_space_group_name_Hall 'P 4 -2'
_cell_length_a 3.7139
_cell_length_b 3.7139
_cell_length_c 9.0063
_cell_angle_alpha 90.00
_cell_angle_beta 90.00
_cell_angle_gamma 90.00
loop_
_atom_site_label
_atom_site_type_symbol
_atom_site_fract_x
_atom_site_fract_y
_atom_site_fract_z
Pm1 Pm 0.0000 0.0000 0.0000
Pr1 Pr 0.5000 0.5000 0.2834
Y1 Y 0.0000 0.0000 0.5628
Cd1 Cd 0.5000 0.5000 0.7721
```


DFT (PBE-GGA) results for an optimized crystal structure of Mg2PbBr.

* crystal system: monoclinic
* ΔE to the lowest computed polymorph: 22.3 meV/atom
* DFT total energy: -10.17 eV/f.u.
* raw formation energy: -401 meV/atom

Structure (CIF):
```
data_Mg2PbBr
_chemical_formula_sum 'Mg2 Pb1 Br1'
_symmetry_space_group_name_H-M 'P 1 m 1'
_symmetry_Int_Tables_number 6
_symmetry_space_group_name_Hall 'P -2y'
_cell_length_a 3.7793
_cell_length_b 5.8098
_cell_length_c 4.8366
_cell_angle_alpha 90.00
_cell_angle_beta 90.05
_cell_angle_gamma 90.00
loop_
_atom_site_label
_atom_site_type_symbol
_atom_site_fract_x
_atom_site_fract_y
_atom_site_fract_z
Mg1 Mg 0.0000 0.0000 0.0000
Mg2 Mg 0.4955 0.5000 0.6208
Pb1 Pb 0.4992 0.0000 0.4991
Br1 Br 0.9971 0.5000 0.0344
```


DFT (PBE-GGA) results for an optimized crystal structure of ScMoCl2.

* crystal system: cubic
* ΔE to the lowest computed polymorph: 1179.6 meV/atom
* DFT total energy: -19.38 eV/f.u.
* raw formation energy: 369 meV/atom

Structure (CIF):
```
data_ScMoCl2
_chemical_formula_sum 'Sc4 Mo4 Cl8'
_symmetry_space_group_name_H-M 'F -4 3 m'
_symmetry_Int_Tables_number 216
_symmetry_space_group_name_Hall 'F -4 2 3'
_cell_length_a 6.9497
_cell_length_b 6.9497
_cell_length_c 6.9497
_cell_angle_alpha 90.00
_cell_angle_beta 90.00
_cell_angle_gamma 90.00
loop_
_atom_site_label
_atom_site_type_symbol
_atom_site_fract_x
_atom_site_fract_y
_atom_site_fract_z
Sc1 Sc 0.0000 0.0000 0.0000
Mo1 Mo 0.2500 0.2500 0.2500
Cl1 Cl 0.0000 0.0000 0.5000
Cl2 Cl 0.2500 0.2500 0.7500
```